No. 1
Entry from Alexandria via LeMat-Bulk: a relaxed CsSiTe2I crystal (GGA-PBE).

CIF file:
```
data_CsSiTe2I
_symmetry_space_group_name_H-M 'P 4/m m m'
_symmetry_Int_Tables_number 123
_symmetry_space_group_name_Hall '-P 4 2'
_cell_length_a 6.273
_cell_length_b 6.273
_cell_length_c 6.841
_cell_angle_alpha 90.00
_cell_angle_beta 90.00
_cell_angle_gamma 90.00
loop_
_atom_site_label
_atom_site_fract_x
_atom_site_fract_y
_atom_site_fract_z
Cs1 0.000 0.000 0.000
Si1 0.500 0.500 0.500
Te1 0.000 0.500 0.000
I1 0.000 0.000 0.500
```

Properties
electronic total energy	-1.610	eV/atom
Fermi-level density of states	1.33	states/eV/atom
crystal system	tetragonal
E above lowest polymorph	1502	meV/atom
formation energy without anion corrections	1212	meV/atom

***

No. 2
Entry from Alexandria via LeMat-Bulk: a relaxed Ti6AgPd12 crystal (GGA-PBE).

CIF file:
```
data_Ti6AgPd12
_symmetry_space_group_name_H-M 'R -3'
_symmetry_Int_Tables_number 148
_symmetry_space_group_name_Hall '-R 3'
_cell_length_a 12.2417
_cell_length_b 12.2417
_cell_length_c 6.8856
_cell_angle_alpha 90.00
_cell_angle_beta 90.00
_cell_angle_gamma 120.00
loop_
_atom_site_label
_atom_site_fract_x
_atom_site_fract_y
_atom_site_fract_z
Ti1 0.0212 0.7580 0.3517
Ag1 0.0000 0.0000 0.0000
Pd1 0.0058 0.8662 0.6637
Pd2 0.0631 0.5026 0.6719
```

Properties
electronic total energy	-6.404	eV/atom
Fermi-level density of states	0.76	states/eV/atom
crystal system	trigonal
E_form	-0.48	eV/atom

***

No. 3
Entry from Alexandria via LeMat-Bulk: a relaxed ScTiRu crystal (GGA-PBE).

CIF file:
```
data_ScTiRu
_symmetry_space_group_name_H-M 'I 4 m m'
_symmetry_Int_Tables_number 107
_symmetry_space_group_name_Hall 'I 4 -2'
_cell_length_a 3.171
_cell_length_b 3.171
_cell_length_c 10.355
_cell_angle_alpha 90.00
_cell_angle_beta 90.00
_cell_angle_gamma 90.00
loop_
_atom_site_label
_atom_site_fract_x
_atom_site_fract_y
_atom_site_fract_z
Sc1 0.000 0.000 0.000
Ti1 0.000 0.000 0.296
Ru1 0.000 0.000 0.665
```

Properties
electronic total energy	-8.254	eV/atom
Fermi-level density of states	0.80	states/eV/atom
crystal system	tetragonal
E above lowest polymorph	0	meV/atom
E_form	-0.42	eV/atom

***

No. 4
Entry from Alexandria via LeMat-Bulk: a relaxed Li2ScI crystal (GGA-PBE).

CIF file:
```
data_Li2ScI
_symmetry_space_group_name_H-M 'F m -3 m'
_symmetry_Int_Tables_number 225
_symmetry_space_group_name_Hall '-F 4 2 3'
_cell_length_a 7.192
_cell_length_b 7.192
_cell_length_c 7.192
_cell_angle_alpha 90.00
_cell_angle_beta 90.00
_cell_angle_gamma 90.00
loop_
_atom_site_label
_atom_site_fract_x
_atom_site_fract_y
_atom_site_fract_z
Li1 0.250 0.250 0.250
Sc1 0.000 0.000 0.000
I1 0.000 0.000 0.500
```

Properties
electronic total energy	-2.734	eV/atom
Fermi-level density of states	0.92	states/eV/atom
crystal system	cubic
E above lowest polymorph	277	meV/atom
formation energy without anion corrections	193	meV/atom

***

No. 5
Entry from Alexandria via LeMat-Bulk: a relaxed CaSm2GeN crystal (GGA-PBE).

CIF file:
```
data_CaSm2GeN
_symmetry_space_group_name_H-M 'P 4/m m m'
_symmetry_Int_Tables_number 123
_symmetry_space_group_name_Hall '-P 4 2'
_cell_length_a 4.877
_cell_length_b 4.877
_cell_length_c 4.751
_cell_angle_alpha 90.00
_cell_angle_beta 90.00
_cell_angle_gamma 90.00
loop_
_atom_site_label
_atom_site_fract_x
_atom_site_fract_y
_atom_site_fract_z
Ca1 0.000 0.000 0.000
Sm1 0.000 0.500 0.500
Ge1 0.500 0.500 0.000
N1 0.000 0.000 0.500
```

Properties
electronic total energy	-5.785	eV/atom
Fermi-level density of states	0.39	states/eV/atom
crystal system	tetragonal
formation energy without anion corrections	-908	meV/atom

***

No. 6
Entry from Alexandria via LeMat-Bulk: a relaxed Sr3AcP crystal (GGA-PBE).

CIF file:
```
data_Sr3AcP
_symmetry_space_group_name_H-M 'P m -3 m'
_symmetry_Int_Tables_number 221
_symmetry_space_group_name_Hall '-P 4 2 3'
_cell_length_a 6.029
_cell_length_b 6.029
_cell_length_c 6.029
_cell_angle_alpha 90.00
_cell_angle_beta 90.00
_cell_angle_gamma 90.00
loop_
_atom_site_label
_atom_site_fract_x
_atom_site_fract_y
_atom_site_fract_z
Sr1 0.000 0.000 0.500
Ac1 0.500 0.500 0.500
P1 0.000 0.000 0.000
```

Properties
electronic total energy	-3.210	eV/atom
Fermi-level density of states	1.19	states/eV/atom
crystal system	cubic
E_form	-0.30	eV/atom

***

No. 7
Entry from Alexandria via LeMat-Bulk: a relaxed IrPtAu2 crystal (GGA-PBE).

CIF file:
```
data_IrPtAu2
_symmetry_space_group_name_H-M 'C m m m'
_symmetry_Int_Tables_number 65
_symmetry_space_group_name_Hall '-C 2 2'
_cell_length_a 5.699
_cell_length_b 8.307
_cell_length_c 2.788
_cell_angle_alpha 90.00
_cell_angle_beta 90.00
_cell_angle_gamma 90.00
loop_
_atom_site_label
_atom_site_fract_x
_atom_site_fract_y
_atom_site_fract_z
Ir1 0.000 0.000 0.000
Pt1 0.000 0.500 0.000
Au1 0.250 0.250 0.500
```

Properties
electronic total energy	-5.042	eV/atom
Fermi-level density of states	1.55	states/eV/atom
crystal system	orthorhombic
E above lowest polymorph	156	meV/atom
E_form	0.32	eV/atom

***

No. 8
Entry from Alexandria via LeMat-Bulk: a relaxed SrDyInHg crystal (GGA-PBE).

CIF file:
```
data_SrDyInHg
_symmetry_space_group_name_H-M 'F -4 3 m'
_symmetry_Int_Tables_number 216
_symmetry_space_group_name_Hall 'F -4 2 3'
_cell_length_a 7.775
_cell_length_b 7.775
_cell_length_c 7.775
_cell_angle_alpha 90.00
_cell_angle_beta 90.00
_cell_angle_gamma 90.00
loop_
_atom_site_label
_atom_site_fract_x
_atom_site_fract_y
_atom_site_fract_z
Sr1 0.000 0.000 0.000
Dy1 0.000 0.000 0.500
In1 0.250 0.250 0.250
Hg1 0.250 0.250 0.750
```

Properties
electronic total energy	-2.756	eV/atom
Fermi-level density of states	0.67	states/eV/atom
crystal system	cubic
E above lowest polymorph	55	meV/atom
E_form	-0.43	eV/atom

***

Among the records above, which one has the highest electronic total energy?
CsSiTe2I